[1]
# PBE MgSnF, relaxed
# * excess energy over the best structure of this formula in the dataset: 0 meV per atom
# * raw total energy: -12.5 eV per formula unit
# * ΔE_f (raw): -5.002 eV per formula unit
data_MgSnF
_space_group_name_H-M_alt 'C m c m'
_space_group_IT_number 63
_space_group_name_Hall '-C 2c 2'
_cell_length_a 3.372
_cell_length_b 17.761
_cell_length_c 3.693
_cell_angle_alpha 90.00
_cell_angle_beta 90.00
_cell_angle_gamma 90.00
loop_
_atom_site_label
_atom_site_type_symbol
_atom_site_fract_x
_atom_site_fract_y
_atom_site_fract_z
Mg1 Mg 0.000 0.183 0.250
Sn1 Sn 0.000 0.433 0.250
F1 F 0.000 0.246 0.750


[2]
# PBE Sr2TiRu, relaxed
# * excess energy over the best structure of this formula in the dataset: 0 meV per atom
# * raw total energy: -18.8 eV per formula unit
# * DFT formation energy: 1.7 eV per formula unit
data_Sr2TiRu
_space_group_name_H-M_alt 'I -4 2 d'
_space_group_IT_number 122
_space_group_name_Hall 'I -4 2bw'
_cell_length_a 11.731
_cell_length_b 11.731
_cell_length_c 4.512
_cell_angle_alpha 90.00
_cell_angle_beta 90.00
_cell_angle_gamma 90.00
loop_
_atom_site_label
_atom_site_type_symbol
_atom_site_fract_x
_atom_site_fract_y
_atom_site_fract_z
Sr1 Sr 0.078 0.750 0.125
Ti1 Ti 0.000 0.000 0.500
Ru1 Ru 0.000 0.000 0.000


[3]
# PBE TbNd4Y2Ho2, relaxed
# * raw total energy: -45.6 eV per formula unit
# * DFT formation energy: 0.2 eV per formula unit
data_TbNd4Y2Ho2
_space_group_name_H-M_alt 'C 1 2/m 1'
_space_group_IT_number 12
_space_group_name_Hall '-C 2y'
_cell_length_a 15.326
_cell_length_b 5.102
_cell_length_c 8.066
_cell_angle_alpha 90.00
_cell_angle_beta 108.40
_cell_angle_gamma 90.00
loop_
_atom_site_label
_atom_site_type_symbol
_atom_site_fract_x
_atom_site_fract_y
_atom_site_fract_z
Tb1 Tb 0.000 0.000 0.000
Nd1 Nd 0.055 0.500 0.330
Nd2 Nd 0.222 0.000 0.331
Y1 Y 0.112 0.000 0.670
Ho1 Ho 0.167 0.500 0.000


[4]
# PBE KRb2ReI6, relaxed
# * raw total energy: -32.0 eV per formula unit
# * ΔE_f (raw): -7.174 eV per formula unit
data_KRb2ReI6
_space_group_name_H-M_alt 'F m -3 m'
_space_group_IT_number 225
_space_group_name_Hall '-F 4 2 3'
_cell_length_a 12.174
_cell_length_b 12.174
_cell_length_c 12.174
_cell_angle_alpha 90.00
_cell_angle_beta 90.00
_cell_angle_gamma 90.00
loop_
_atom_site_label
_atom_site_type_symbol
_atom_site_fract_x
_atom_site_fract_y
_atom_site_fract_z
K1 K 0.000 0.000 0.000
Rb1 Rb 0.250 0.250 0.250
Re1 Re 0.000 0.000 0.500
I1 I 0.000 0.000 0.274


> Look up the raw total energy of the third one.

-45.6 eV per formula unit